(1)
Density functional theory data (PBEsol) for Ba3SrBi after structural relaxation.

Structure (CIF):
```
data_Ba3SrBi
_cell_length_a 6.772
_cell_length_b 6.772
_cell_length_c 6.772
_cell_angle_alpha 90.00
_cell_angle_beta 90.00
_cell_angle_gamma 90.00
_space_group_name_H-M_alt 'P m -3 m'
_space_group_IT_number 221
_space_group_name_Hall '-P 4 2 3'
loop_
_atom_site_label
_atom_site_type_symbol
_atom_site_fract_x
_atom_site_fract_y
_atom_site_fract_z
Ba1 Ba 0.000 0.000 0.500
Sr1 Sr 0.500 0.500 0.500
Bi1 Bi 0.000 0.000 0.000
```

ΔE_f: -0.275 eV/atom

(2)
Density functional theory data (PBEsol) for BaSrBi2 after structural relaxation.

Structure (CIF):
```
data_BaSrBi2
_cell_length_a 8.347
_cell_length_b 8.347
_cell_length_c 8.347
_cell_angle_alpha 90.00
_cell_angle_beta 90.00
_cell_angle_gamma 90.00
_space_group_name_H-M_alt 'F m -3 m'
_space_group_IT_number 225
_space_group_name_Hall '-F 4 2 3'
loop_
_atom_site_label
_atom_site_type_symbol
_atom_site_fract_x
_atom_site_fract_y
_atom_site_fract_z
Ba1 Ba 0.000 0.000 0.000
Sr1 Sr 0.000 0.000 0.500
Bi1 Bi 0.250 0.250 0.250
```

ΔE_f: -0.757 eV/atom

(3)
Density functional theory data (PBEsol) for BaSr2Bi2 after structural relaxation.

Structure (CIF):
```
data_BaSr2Bi2
_cell_length_a 9.479
_cell_length_b 9.479
_cell_length_c 4.295
_cell_angle_alpha 90.00
_cell_angle_beta 90.00
_cell_angle_gamma 90.00
_space_group_name_H-M_alt 'P 4/m b m'
_space_group_IT_number 127
_space_group_name_Hall '-P 4 2ab'
loop_
_atom_site_label
_atom_site_type_symbol
_atom_site_fract_x
_atom_site_fract_y
_atom_site_fract_z
Ba1 Ba 0.000 0.000 0.000
Sr1 Sr 0.137 0.363 0.500
Bi1 Bi 0.163 0.663 0.000
```

ΔE_f: -0.829 eV/atom
ΔE to the lowest computed polymorph: 0.000 eV/atom

(4)
Density functional theory data (PBEsol) for BaSr2Bi2 after structural relaxation.

Structure (CIF):
```
data_BaSr2Bi2
_cell_length_a 6.225
_cell_length_b 6.225
_cell_length_c 11.242
_cell_angle_alpha 90.00
_cell_angle_beta 90.00
_cell_angle_gamma 90.00
_space_group_name_H-M_alt 'I 4/m m m'
_space_group_IT_number 139
_space_group_name_Hall '-I 4 2'
loop_
_atom_site_label
_atom_site_type_symbol
_atom_site_fract_x
_atom_site_fract_y
_atom_site_fract_z
Ba1 Ba 0.000 0.000 0.000
Sr1 Sr 0.000 0.000 0.330
Bi1 Bi 0.000 0.500 0.250
```

ΔE_f: -0.549 eV/atom
ΔE to the lowest computed polymorph: 0.279 eV/atom

(5)
Density functional theory data (PBEsol) for BaTaTc2Bi after structural relaxation.

Structure (CIF):
```
data_BaTaTc2Bi
_cell_length_a 4.855
_cell_length_b 4.855
_cell_length_c 5.521
_cell_angle_alpha 90.00
_cell_angle_beta 90.00
_cell_angle_gamma 90.00
_space_group_name_H-M_alt 'P 4/m m m'
_space_group_IT_number 123
_space_group_name_Hall '-P 4 2'
loop_
_atom_site_label
_atom_site_type_symbol
_atom_site_fract_x
_atom_site_fract_y
_atom_site_fract_z
Ba1 Ba 0.000 0.000 0.000
Ta1 Ta 0.500 0.500 0.500
Tc1 Tc 0.000 0.500 0.500
Bi1 Bi 0.500 0.500 0.000
```

ΔE_f: 1.066 eV/atom

(6)
Density functional theory data (PBEsol) for BaTaBi2Te after structural relaxation.

Structure (CIF):
```
data_BaTaBi2Te
_cell_length_a 5.343
_cell_length_b 5.343
_cell_length_c 6.183
_cell_angle_alpha 90.00
_cell_angle_beta 90.00
_cell_angle_gamma 90.00
_space_group_name_H-M_alt 'P 4/m m m'
_space_group_IT_number 123
_space_group_name_Hall '-P 4 2'
loop_
_atom_site_label
_atom_site_type_symbol
_atom_site_fract_x
_atom_site_fract_y
_atom_site_fract_z
Ba1 Ba 0.000 0.000 0.000
Ta1 Ta 0.000 0.000 0.500
Bi1 Bi 0.000 0.500 0.500
Te1 Te 0.500 0.500 0.000
```

formation energy from raw total energies: 0.2128 eV per atom

(7)
Density functional theory data (PBEsol) for Ba2TaTiBi after structural relaxation.

Structure (CIF):
```
data_Ba2TaTiBi
_cell_length_a 6.528
_cell_length_b 6.528
_cell_length_c 5.288
_cell_angle_alpha 90.00
_cell_angle_beta 90.00
_cell_angle_gamma 90.00
_space_group_name_H-M_alt 'P 4/m m m'
_space_group_IT_number 123
_space_group_name_Hall '-P 4 2'
loop_
_atom_site_label
_atom_site_type_symbol
_atom_site_fract_x
_atom_site_fract_y
_atom_site_fract_z
Ba1 Ba 0.000 0.500 0.000
Ta1 Ta 0.000 0.000 0.500
Ti1 Ti 0.500 0.500 0.500
Bi1 Bi 0.000 0.000 0.000
```

ΔE_f: 1.269 eV/atom

(8)
Density functional theory data (PBEsol) for BaBiTe2 after structural relaxation.

Structure (CIF):
```
data_BaBiTe2
_cell_length_a 4.5027
_cell_length_b 4.5027
_cell_length_c 30.2854
_cell_angle_alpha 90.00
_cell_angle_beta 90.00
_cell_angle_gamma 120.00
_space_group_name_H-M_alt 'R -3 m'
_space_group_IT_number 166
_space_group_name_Hall '-R 3 2"'
loop_
_atom_site_label
_atom_site_type_symbol
_atom_site_fract_x
_atom_site_fract_y
_atom_site_fract_z
Ba1 Ba 0.0000 0.0000 0.0000
Bi1 Bi 0.0000 0.0000 0.5000
Te1 Te 0.0000 0.0000 0.1097
```

formation energy from raw total energies: -0.3680 eV per atom